# GeS2 (GGA-PBEsol, optimized geometry)
# VASP energy in eV/atom: -4.8943
# Energy relative to the elements, uncorrected in eV/atom: -0.325
data_GeS2
_chemical_formula_sum 'Ge4 S8'
_symmetry_space_group_name_H-M 'I -4 2 d'
_symmetry_Int_Tables_number 122
_symmetry_space_group_name_Hall 'I -4 2bw'
_cell_length_a 5.565
_cell_length_b 5.565
_cell_length_c 9.007
_cell_angle_alpha 90.00
_cell_angle_beta 90.00
_cell_angle_gamma 90.00
loop_
_atom_site_label
_atom_site_type_symbol
_atom_site_fract_x
_atom_site_fract_y
_atom_site_fract_z
Ge1 Ge 0.000 0.000 0.000
S1 S 0.239 0.250 0.125

***

# GeS2 (GGA-PBEsol, optimized geometry)
# VASP energy in eV/atom: -4.8662
# Energy relative to the elements, uncorrected in eV/atom: -0.297
data_GeS2
_chemical_formula_sum 'Ge2 S4'
_symmetry_space_group_name_H-M 'P 42/n m c'
_symmetry_Int_Tables_number 137
_cell_length_a 3.466
_cell_length_b 3.466
_cell_length_c 10.993
_cell_angle_alpha 90.00
_cell_angle_beta 90.00
_cell_angle_gamma 90.00
loop_
_symmetry_equiv_pos_as_xyz
'x,y,z'
'-x,-y,-z'
'-y+1/2,x,z+1/2'
'y+1/2,-x,-z+1/2'
'-x+1/2,-y+1/2,z'
'x+1/2,y+1/2,-z'
'y,-x+1/2,z+1/2'
'-y,x+1/2,-z+1/2'
'x+1/2,-y,-z'
'-x+1/2,y,z'
'-y,-x,-z+1/2'
'y,x,z+1/2'
'-x,y+1/2,-z'
'x,-y+1/2,z'
'y+1/2,x+1/2,-z+1/2'
'-y+1/2,-x+1/2,z+1/2'
loop_
_atom_site_label
_atom_site_type_symbol
_atom_site_fract_x
_atom_site_fract_y
_atom_site_fract_z
Ge1 Ge 0.250 0.750 0.250
S1 S 0.250 0.250 0.121

***

# GeS (GGA-PBEsol, optimized geometry)
# VASP energy in eV/atom: -4.9269
# Energy relative to the elements, uncorrected in eV/atom: -0.265
data_GeS
_chemical_formula_sum 'Ge4 S4'
_symmetry_space_group_name_H-M 'C m c m'
_symmetry_Int_Tables_number 63
_symmetry_space_group_name_Hall '-C 2c 2'
_cell_length_a 3.809
_cell_length_b 10.525
_cell_length_c 3.795
_cell_angle_alpha 90.00
_cell_angle_beta 90.00
_cell_angle_gamma 90.00
loop_
_atom_site_label
_atom_site_type_symbol
_atom_site_fract_x
_atom_site_fract_y
_atom_site_fract_z
Ge1 Ge 0.000 0.130 0.250
S1 S 0.000 0.356 0.250

***

# GeSbTe2S (GGA-PBEsol, optimized geometry)
# VASP energy in eV/atom: -3.3559
# Energy relative to the elements, uncorrected in eV/atom: 0.831
data_GeSbTe2S
_chemical_formula_sum 'Ge1 Sb1 Te2 S1'
_symmetry_space_group_name_H-M 'P 4/m m m'
_symmetry_Int_Tables_number 123
_symmetry_space_group_name_Hall '-P 4 2'
_cell_length_a 5.201
_cell_length_b 5.201
_cell_length_c 5.339
_cell_angle_alpha 90.00
_cell_angle_beta 90.00
_cell_angle_gamma 90.00
loop_
_atom_site_label
_atom_site_type_symbol
_atom_site_fract_x
_atom_site_fract_y
_atom_site_fract_z
Ge1 Ge 0.000 0.000 0.000
Sb1 Sb 0.000 0.000 0.500
Te1 Te 0.000 0.500 0.000
S1 S 0.500 0.500 0.500

***

# GeSb2TeS (GGA-PBEsol, optimized geometry)
# VASP energy in eV/atom: -3.5415
# Energy relative to the elements, uncorrected in eV/atom: 0.851
data_GeSb2TeS
_chemical_formula_sum 'Ge1 Sb2 Te1 S1'
_symmetry_space_group_name_H-M 'P 4/m m m'
_symmetry_Int_Tables_number 123
_symmetry_space_group_name_Hall '-P 4 2'
_cell_length_a 5.294
_cell_length_b 5.294
_cell_length_c 5.122
_cell_angle_alpha 90.00
_cell_angle_beta 90.00
_cell_angle_gamma 90.00
loop_
_atom_site_label
_atom_site_type_symbol
_atom_site_fract_x
_atom_site_fract_y
_atom_site_fract_z
Ge1 Ge 0.000 0.000 0.000
Sb1 Sb 0.000 0.500 0.000
Te1 Te 0.000 0.000 0.500
S1 S 0.500 0.500 0.500

***

# SiGe2S (GGA-PBEsol, optimized geometry)
# VASP energy in eV/atom: -4.6530
# Energy relative to the elements, uncorrected in eV/atom: 0.349
data_SiGe2S
_chemical_formula_sum 'Si4 Ge8 S4'
_symmetry_space_group_name_H-M 'F m -3 m'
_symmetry_Int_Tables_number 225
_symmetry_space_group_name_Hall '-F 4 2 3'
_cell_length_a 6.427
_cell_length_b 6.427
_cell_length_c 6.427
_cell_angle_alpha 90.00
_cell_angle_beta 90.00
_cell_angle_gamma 90.00
loop_
_atom_site_label
_atom_site_type_symbol
_atom_site_fract_x
_atom_site_fract_y
_atom_site_fract_z
Si1 Si 0.000 0.000 0.000
Ge1 Ge 0.250 0.250 0.250
S1 S 0.000 0.000 0.500

***

# TaSiGeS2 (GGA-PBEsol, optimized geometry)
# VASP energy in eV/atom: -5.6434
# Energy relative to the elements, uncorrected in eV/atom: 0.758
data_TaSiGeS2
_chemical_formula_sum 'Ta1 Si1 Ge1 S2'
_symmetry_space_group_name_H-M 'P 4/m m m'
_symmetry_Int_Tables_number 123
_symmetry_space_group_name_Hall '-P 4 2'
_cell_length_a 4.309
_cell_length_b 4.309
_cell_length_c 5.060
_cell_angle_alpha 90.00
_cell_angle_beta 90.00
_cell_angle_gamma 90.00
loop_
_atom_site_label
_atom_site_type_symbol
_atom_site_fract_x
_atom_site_fract_y
_atom_site_fract_z
Ta1 Ta 0.000 0.000 0.000
Si1 Si 0.000 0.000 0.500
Ge1 Ge 0.500 0.500 0.000
S1 S 0.000 0.500 0.500

***

# Sm6Ge3S14 (GGA-PBEsol, optimized geometry)
# VASP energy in eV/atom: -6.1633
# Energy relative to the elements, uncorrected in eV/atom: -1.522
data_Sm6Ge3S14
_chemical_formula_sum 'Sm6 Ge3 S14'
_symmetry_space_group_name_H-M 'P 3'
_symmetry_Int_Tables_number 143
_cell_length_a 9.9975
_cell_length_b 9.9975
_cell_length_c 5.6750
_cell_angle_alpha 90.00
_cell_angle_beta 90.00
_cell_angle_gamma 120.00
loop_
_symmetry_equiv_pos_as_xyz
'x,y,z'
'-y,x-y,z'
'-x+y,-x,z'
loop_
_atom_site_label
_atom_site_type_symbol
_atom_site_fract_x
_atom_site_fract_y
_atom_site_fract_z
Sm1 Sm 0.0248 0.5647 0.0000
Sm2 Sm 0.3078 0.1023 0.4922
Ge1 Ge 0.0000 0.0000 0.9108
Ge2 Ge 0.3333 0.6667 0.4183
Ge3 Ge 0.6667 0.3333 0.7595
S1 S 0.0000 0.0000 0.2949
S2 S 0.0819 0.8495 0.7519
S3 S 0.1828 0.4345 0.2573
S4 S 0.3333 0.6667 0.8018
S5 S 0.4075 0.1657 0.0082
S6 S 0.5024 0.4268 0.5165

***

What did the second record say?
# GeS2 (GGA-PBEsol, optimized geometry)
# VASP energy in eV/atom: -4.8662
# Energy relative to the elements, uncorrected in eV/atom: -0.297
data_GeS2
_chemical_formula_sum 'Ge2 S4'
_symmetry_space_group_name_H-M 'P 42/n m c'
_symmetry_Int_Tables_number 137
_cell_length_a 3.466
_cell_length_b 3.466
_cell_length_c 10.993
_cell_angle_alpha 90.00
_cell_angle_beta 90.00
_cell_angle_gamma 90.00
loop_
_symmetry_equiv_pos_as_xyz
'x,y,z'
'-x,-y,-z'
'-y+1/2,x,z+1/2'
'y+1/2,-x,-z+1/2'
'-x+1/2,-y+1/2,z'
'x+1/2,y+1/2,-z'
'y,-x+1/2,z+1/2'
'-y,x+1/2,-z+1/2'
'x+1/2,-y,-z'
'-x+1/2,y,z'
'-y,-x,-z+1/2'
'y,x,z+1/2'
'-x,y+1/2,-z'
'x,-y+1/2,z'
'y+1/2,x+1/2,-z+1/2'
'-y+1/2,-x+1/2,z+1/2'
loop_
_atom_site_label
_atom_site_type_symbol
_atom_site_fract_x
_atom_site_fract_y
_atom_site_fract_z
Ge1 Ge 0.250 0.750 0.250
S1 S 0.250 0.250 0.121

***

Which formula does entry 7 have? TaSiGeS2

***

Number 7 is which compound? TaSiGeS2